1.
18
Lattice="-3.543 -6.287 1.355 7.031 -2.600 6.320 -2.180 6.628 5.152" Properties=species:S:1:pos:R:3 comment="Pm3Y2Tl4 (PBE, optimized geometry)" dos_at_fermi_per_ev_atom=0.67 sg="Cmce (64)" formation_enthalpy_0k_ev_per_atom=-0.202 rho_g_cm3=8.40 relative_energy_mev_per_atom=122 total_energy_ev_per_atom=-4.274 pbc="T T T"
Pm 1.744 -4.444 3.838
Pm 0.000 0.000 0.000
Pm 3.912 1.603 7.716
Tl 0.934 0.884 6.541
Pm 2.140 -1.541 8.394
Pm -0.832 -0.719 4.433
Tl 0.793 -2.152 2.035
Tl -0.979 -5.296 2.713
Tl 2.287 3.036 10.115
Y -1.762 -1.554 8.078
Y 3.070 -0.706 4.750
Y 4.029 -4.859 7.882
Tl -3.993 -1.093 4.382
Y -2.721 2.600 4.946
Pm -2.604 -3.863 5.111
Tl 0.515 -0.107 10.792
Tl 5.301 -1.167 8.445
Tl 0.374 -3.143 6.287

2.
4
Lattice="5.477 0.000 0.000 2.257 4.991 0.000 -3.867 -2.495 2.970" Properties=species:S:1:pos:R:3 comment="Cd2RuBr (PBE, optimized geometry)" dos_at_fermi_per_ev_atom=0.94 sg="I-4m2 (119)" raw_formation_energy_ev_per_atom=0.54 rho_g_cm3=8.30 relative_energy_mev_per_atom=374 total_energy_ev_per_atom=-2.654 pbc="T T T"
Br 2.739 0.000 1.485
Ru 3.867 2.495 0.000
Cd 0.000 0.000 0.000
Cd 1.128 2.495 1.485

3.
12
Lattice="4.895 0.000 0.000 2.448 7.048 1.027 2.448 1.134 6.412" Properties=species:S:1:pos:R:3 comment="Li7CdAg4 (PBE, optimized geometry)" dos_at_fermi_per_ev_atom=0.39 sg="C2/m (12)" formation_enthalpy_0k_ev_per_atom=-0.091 rho_g_cm3=4.56 relative_energy_mev_per_atom=106 total_energy_ev_per_atom=-2.234 pbc="T T T"
Li 2.448 4.436 2.323
Li 2.448 1.389 3.138
Ag 4.895 2.706 4.191
Ag 2.448 2.518 0.474
Ag 4.895 5.476 3.249
Li 7.343 3.746 5.116
Li 4.895 5.962 5.779
Cd 0.000 0.000 0.000
Ag 7.343 5.664 6.966
Li 7.343 6.793 4.301
Li 4.895 2.220 1.660
Li 2.448 0.000 0.000

4.
8
Lattice="3.290 0.046 0.001 -1.461 2.996 -0.002 -0.508 -1.149 10.142" Properties=species:S:1:pos:R:3 comment="Be2BS (PBE, optimized geometry)" dos_at_fermi_per_ev_atom=0.11 sg="P-1 (2)" raw_formation_energy_ev_per_atom=-0.35 rho_g_cm3=2.01 relative_energy_mev_per_atom=4 total_energy_ev_per_atom=-4.913 pbc="T T T"
S 2.334 0.708 2.015
Be 0.703 1.727 2.700
B 0.563 1.696 4.753
Be -1.031 1.434 6.033
Be 2.352 0.459 4.108
Be 0.618 0.166 7.441
S -1.014 1.185 8.126
B 0.758 0.197 5.388

5.
5
Lattice="-1.130 6.237 -2.458 0.888 -2.331 -6.325 -5.398 -1.115 -0.347" Properties=species:S:1:pos:R:3 comment="RbPdI2N (PBE, optimized geometry)" dos_at_fermi_per_ev_atom=1.97 sg="P4/mmm (123)" raw_formation_energy_ev_per_atom=1.24 rho_g_cm3=2.99 relative_energy_mev_per_atom=1220 total_energy_ev_per_atom=-2.277 pbc="T T T"
I -0.565 3.119 -1.229
I 0.444 -1.166 -3.162
N -2.699 -0.557 -0.174
Pd -2.820 1.396 -4.565
Rb 0.000 0.000 0.000

6.
5
Lattice="-2.404 -4.186 -1.885 4.150 -1.072 -2.913 1.963 -2.861 3.849" Properties=species:S:1:pos:R:3 comment="Ca3CoSi (PBE, optimized geometry)" dos_at_fermi_per_ev_atom=0.73 sg="Pm-3m (221)" raw_formation_energy_ev_per_atom=0.30 rho_g_cm3=2.47 relative_energy_mev_per_atom=0 total_energy_ev_per_atom=-3.406 pbc="T T T"
Co 0.000 0.000 0.000
Ca -1.202 -2.093 -0.942
Ca 0.982 -1.430 1.925
Ca 2.075 -0.536 -1.456
Si 1.855 -4.059 -0.474

7.
10
Lattice="-3.267 -0.358 2.976 0.268 -3.661 -3.449 6.338 -5.471 6.299" Properties=species:S:1:pos:R:3 comment="AgH2IO (PBE, optimized geometry)" sg="Cmcm (63)" rho_g_cm3=4.00 total_energy_ev_per_atom=-3.560 pbc="T T T"
Ag 3.673 -7.143 3.172
H 5.784 -5.874 5.643
H -2.445 -3.616 0.183
I 2.568 -5.837 5.418
O 3.169 -2.735 3.150
O 0.000 0.000 0.000
H 0.096 -5.809 2.709
H 3.243 -3.681 3.117
I 0.772 -3.654 0.407
Ag -0.333 -2.347 2.654

8.
5
Lattice="4.557 0.000 0.000 0.000 4.557 0.000 0.000 0.000 4.557" Properties=species:S:1:pos:R:3 comment="CdGeRu3 (PBE, optimized geometry)" dos_at_fermi_per_ev_atom=1.35 sg="Pm-3m (221)" formation_enthalpy_0k_ev_per_atom=0.921 rho_g_cm3=8.57 relative_energy_mev_per_atom=0 total_energy_ev_per_atom=-5.751 pbc="T T T"
Ru 2.278 0.000 0.000
Ru 0.000 0.000 2.278
Cd 2.278 2.278 2.278
Ru 0.000 2.278 0.000
Ge 0.000 0.000 0.000

9.
3
Lattice="-1.370 2.847 1.200 0.506 -1.088 3.159 5.294 1.450 -2.157" Properties=species:S:1:pos:R:3 comment="TmNbMo (PBE, optimized geometry)" dos_at_fermi_per_ev_atom=1.18 sg="I4mm (107)" formation_enthalpy_0k_ev_per_atom=0.108 rho_g_cm3=9.65 relative_energy_mev_per_atom=0 total_energy_ev_per_atom=-8.350 pbc="T T T"
Nb 2.970 1.423 0.014
Tm 0.054 0.026 0.000
Mo 1.407 1.761 2.188

10.
5
Lattice="-3.629 -1.653 -0.448 1.680 -3.639 -0.182 -0.332 -0.352 3.983" Properties=species:S:1:pos:R:3 comment="HIrPt3 (PBE, optimized geometry)" dos_at_fermi_per_ev_atom=1.32 sg="Pm-3m (221)" rho_g_cm3=20.01 relative_energy_mev_per_atom=0 total_energy_ev_per_atom=-5.834 pbc="T T T"
Pt 0.840 -1.820 -0.091
Ir -1.140 -2.822 1.677
Pt -0.166 -0.176 1.992
H 0.000 0.000 0.000
Pt -1.814 -0.826 -0.224